A relaxed K3Tb3MoO8 crystal. Source: Alexandria, functional PBE with a Hubbard U.

The structure in POSCAR format:
```
K3Tb3MoO8
1.0
5.914 -3.436 0.000
5.914 3.436 0.000
-3.957 0.000 6.297
K Tb Mo O
3 3 1 8
direct
0.000 0.000 0.000
0.000 0.500 0.000
0.500 0.000 0.000
0.000 0.500 0.500
0.500 0.000 0.500
0.500 0.500 0.500
0.000 0.000 0.500
0.210 0.210 0.673
0.214 0.748 0.673
0.252 0.786 0.327
0.271 0.271 0.316
0.729 0.729 0.684
0.748 0.214 0.673
0.786 0.252 0.327
0.790 0.790 0.327
```

Final energy: -0.502 Ry per atom